No. 1
Below is an optimized crystal structure of BaMoBr2Cl, with properties calculated at the PBE level.

Summary:
Raw formation energy (eV per atom): -0.715
M_tot (μB/f.u.): 3.0
V (Å³ per cell): 144.0

Lattice parameters (Å, degrees): 5.357 5.357 5.019 90.00 90.00 90.00
Positions (direct):
Ba1 0.000 0.000 0.000
Mo1 0.500 0.500 0.500
Br1 0.000 0.500 0.500
Br2 0.500 0.000 0.500
Cl1 0.500 0.500 0.000


No. 2
Below is an optimized crystal structure of Mn3MoP, with properties calculated at the PBE level.

Summary:
M_tot (μB/f.u.): 7.9
DFT formation energy (eV per atom): 1.46
Energy above the most stable polymorph in this dataset (meV per atom): 961
V (Å³ per cell): 96.6

Lattice parameters (Å, degrees): 4.588 4.588 4.588 90.00 90.00 90.00
Positions (direct):
Mn1 0.000 0.000 0.500
Mn2 0.000 0.500 0.000
Mn3 0.500 0.000 0.000
Mo1 0.000 0.000 0.000
P1 0.500 0.500 0.500